Computed, not measured: crystalline Pa2Al5Au4 at its relaxed geometry at the PBE level of DFT.

calculated formation energy: -0.375 eV per atom
DOS(E_F): 9.9 states/eV/f.u.
space group: Fmmm
calculated volume: 20.1 Å³/atom

Unit cell a=9.8591 b=9.1099 c=5.4014 alpha=81.25 beta=65.96 gamma=32.79
With the nearest neighbours (Å) after each atom.
Fractional positions:
Pa: 0.0964 0.0964 0.9036  6 Al 3.18-3.21, 6 Au 3.19-3.22, 1 Pa 3.35
Pa: 0.9036 0.9036 0.0964  6 Al 3.18-3.21, 6 Au 3.19-3.22, 1 Pa 3.35
Al: 0.0000 0.0000 0.5000  4 Al 2.70-2.74, 4 Au 2.81
Al: 0.2500 0.2500 0.2500  4 Au 2.58, 2 Al 2.74
Al: 0.5000 0.5000 0.0000  4 Al 2.70-2.74, 4 Au 2.81
Al: 0.5000 0.5000 0.5000  4 Al 2.70, 4 Au 2.76
Al: 0.7500 0.7500 0.7500  4 Au 2.58, 2 Al 2.74
Au: 0.2054 0.5285 0.4715  5 Al 2.58-2.81
Au: 0.4715 0.7946 0.2054  5 Al 2.58-2.81
Au: 0.5285 0.2054 0.7946  5 Al 2.58-2.81
Au: 0.7946 0.4715 0.5285  5 Al 2.58-2.81



Computed, not measured: crystalline Li2TeBr6 at its relaxed geometry at the PBE level of DFT.

DOS(E_F): 0.0 states/eV/f.u.
space group: P2_1/c
calculated volume: 29.8 Å³/atom

Unit cell a=6.8958 b=6.6081 c=13.6347 alpha=90.00 beta=120.33 gamma=90.00
With the nearest neighbours (Å) after each atom.
Fractional positions:
Li: 0.1654 0.0013 0.1654  6 Br 2.70-2.95
Li: 0.1654 0.4987 0.6654  6 Br 2.70-2.95
Li: 0.8346 0.5013 0.3346  6 Br 2.70-2.95
Li: 0.8346 0.9987 0.8346  6 Br 2.70-2.95
Te: 0.5000 0.0000 0.0000  6 Br 2.73-2.75
Te: 0.5000 0.5000 0.5000  6 Br 2.73-2.75
Br: 0.1580 0.2297 0.8350  2 Li 2.70-2.94, 1 Te 2.75
Br: 0.1580 0.2703 0.3350  2 Li 2.70-2.94, 1 Te 2.75
Br: 0.1735 0.7334 0.5005  1 Te 2.73, 2 Li 2.76
Br: 0.1735 0.7666 0.0005  1 Te 2.73, 2 Li 2.76
Br: 0.4868 0.2319 0.1640  2 Li 2.70-2.95, 1 Te 2.75
Br: 0.4868 0.2681 0.6640  2 Li 2.70-2.95, 1 Te 2.75
Br: 0.5132 0.7319 0.3360  2 Li 2.70-2.95, 1 Te 2.75
Br: 0.5132 0.7681 0.8360  2 Li 2.70-2.95, 1 Te 2.75
Br: 0.8265 0.2334 0.9995  1 Te 2.73, 2 Li 2.76
Br: 0.8265 0.2666 0.4995  1 Te 2.73, 2 Li 2.76
Br: 0.8420 0.7297 0.6650  2 Li 2.70-2.94, 1 Te 2.75
Br: 0.8420 0.7703 0.1650  2 Li 2.70-2.94, 1 Te 2.75



no.,DFT total energy (eV for the cell shown),density (Mg/m³)
1,-54.93,10.4
2,-49.55,3.8